Material: Y3CdC
Method: DFT, PBE
State: optimized geometry

Results
Theoretical density, g cm⁻³: 5.0
Energy above the lowest structure with this stoichiometry, eV/atom: 0.1680
Space group: R-3
Crystal system: trigonal
DOS at the Fermi energy, states/eV/atom: 1.234
Formation enthalpy at 0 K, meV/atom: -173

Cell: 8.3886 8.3886 8.3886 Å, 44.33 44.33 44.33°
Closest atoms and distances in Å follow each position.
Sites, in units of the cell vectors:
Y: 0.4442 0.0822 0.7882  2 C 2.47-2.50
Y: 0.0822 0.7882 0.4442  2 C 2.47-2.50
Y: 0.5558 0.9178 0.2118  2 C 2.47-2.50
Y: 0.9178 0.2118 0.5558  2 C 2.47-2.50
Y: 0.2118 0.5558 0.9178  2 C 2.47-2.50
Y: 0.7882 0.4442 0.0822  2 C 2.47-2.50
C: 0.8367 0.8367 0.8367  6 Y 2.47-2.50
C: 0.1633 0.1633 0.1633  6 Y 2.47-2.50
Cd: 0.6611 0.6611 0.6611  6 Y 3.17-3.22
Cd: 0.3389 0.3389 0.3389  6 Y 3.17-3.22